<a>
The following is a PBEsol calculation of crystalline Y4Zr3O12 at its relaxed geometry, from Alexandria.

Cell: 6.278 6.339 6.509 Å, 99.81 98.53 99.59°
Sites, in units of the cell vectors:
Y  0.114  0.302  0.135
Y  0.197  0.865  0.390
Y  0.803  0.135  0.610
Y  0.886  0.698  0.865
Zr  0.349  0.396  0.670
Zr  0.500  0.000  0.000
Zr  0.651  0.604  0.330
O  0.085  0.416  0.821
O  0.088  0.188  0.435
O  0.185  0.935  0.059
O  0.328  0.569  0.425
O  0.423  0.086  0.694
O  0.477  0.322  0.116
O  0.523  0.678  0.884
O  0.577  0.914  0.306
O  0.672  0.431  0.575
O  0.815  0.065  0.941
O  0.912  0.812  0.565
O  0.915  0.584  0.179

Computed properties:
crystal system = triclinic

=====

<b>
The following is a PBEsol calculation of crystalline Y4Zr3O12 at its relaxed geometry, from Alexandria.

Cell: 6.344 6.348 6.352 Å, 98.78 99.28 99.70°
Sites, in units of the cell vectors:
Y  0.000  0.000  0.000
Y  0.090  0.252  0.554
Y  0.392  0.780  0.723
Y  0.558  0.079  0.254
Zr  0.313  0.528  0.164
Zr  0.702  0.393  0.862
Zr  0.839  0.698  0.471
O  0.018  0.352  0.952
O  0.105  0.949  0.678
O  0.115  0.573  0.421
O  0.272  0.227  0.274
O  0.276  0.809  0.048
O  0.380  0.446  0.804
O  0.521  0.783  0.422
O  0.626  0.078  0.917
O  0.644  0.482  0.180
O  0.755  0.321  0.546
O  0.770  0.705  0.785
O  0.876  0.955  0.298

Computed properties:
crystal system = triclinic

=====

The structure with the most favorable energy is <a>; the runner-up is 0.5 kJ/mol of atoms above it.

=====

<a>
The following is a PBEsol calculation of crystalline POs3 at its relaxed geometry, from Alexandria.

Cell: 2.792 3.890 5.137 Å, 90.00 104.50 90.00°
Sites, in units of the cell vectors:
P  0.000  0.000  0.000
Os  0.000  0.000  0.500
Os  0.362  0.500  0.235
Os  0.638  0.500  0.765

Computed properties:
crystal system = monoclinic

=====

<b>
The following is a PBEsol calculation of crystalline POs3 at its relaxed geometry, from Alexandria.

Cell: 2.762 2.762 8.423 Å, 90.00 90.00 120.03°
Sites, in units of the cell vectors:
P  0.000  0.000  0.000
Os  0.000  0.000  0.500
Os  0.500  0.500  0.226
Os  0.500  0.500  0.774

Computed properties:
crystal system = orthorhombic

=====

<c>
The following is a PBEsol calculation of crystalline POs3 at its relaxed geometry, from Alexandria.

Cell: 5.070 5.070 5.070 Å, 147.53 61.47 129.34°
Sites, in units of the cell vectors:
P  0.000  0.000  0.000
Os  0.164  0.450  0.714
Os  0.457  0.957  0.500
Os  0.735  0.450  0.286

Computed properties:
crystal system = orthorhombic

=====

The structure with the most favorable energy is <c>; the runner-up is 2.5 kJ/mol of atoms above it.

=====

<a>
The following is a PBEsol calculation of crystalline ScP2Os at its relaxed geometry, from Alexandria.

Cell: 3.315 3.853 4.821 Å, 90.00 90.00 90.00°
Sites, in units of the cell vectors:
Sc  0.000  0.000  0.000
P  0.500  0.500  0.228
P  0.500  0.500  0.772
Os  0.500  0.000  0.500

Computed properties:
crystal system = orthorhombic

=====

<b>
The following is a PBEsol calculation of crystalline ScP2Os at its relaxed geometry, from Alexandria.

Cell: 7.737 7.737 7.737 Å, 22.74 22.74 22.74°
Sites, in units of the cell vectors:
Sc  0.000  0.000  0.000
P  0.498  0.498  0.498
P  0.756  0.756  0.756
Os  0.237  0.237  0.237

Computed properties:
crystal system = trigonal

=====

The structure with the most favorable energy is <a>; the runner-up is 46.2 kJ/mol of atoms above it.

=====

<a>
The following is a PBEsol calculation of crystalline SrP2Os at its relaxed geometry, from Alexandria.

Cell: 4.938 4.938 4.938 Å, 132.09 107.26 91.89°
Sites, in units of the cell vectors:
Sr  0.000  0.000  0.000
P  0.330  0.830  0.500
P  0.670  0.170  0.500
Os  0.500  0.500  0.000

Computed properties:
crystal system = orthorhombic

=====

<b>
The following is a PBEsol calculation of crystalline SrP2Os at its relaxed geometry, from Alexandria.

Cell: 4.165 6.098 6.098 Å, 36.35 90.00 90.00°
Sites, in units of the cell vectors:
Sr  0.000  0.000  0.000
P  0.000  0.298  0.298
P  0.500  0.620  0.620
Os  0.500  0.226  0.226

Computed properties:
crystal system = orthorhombic

=====

The structure with the most favorable energy is <b>; the runner-up is 10.4 kJ/mol of atoms above it.

=====

<a>
The following is a PBEsol calculation of crystalline TlP2Os at its relaxed geometry, from Alexandria.

Cell: 8.579 8.579 8.579 Å, 160.24 160.00 28.26°
Sites, in units of the cell vectors:
Tl  0.000  0.000  0.000
P  0.350  0.350  0.000
P  0.664  0.164  0.500
Os  0.238  0.738  0.500

Computed properties:
crystal system = orthorhombic

=====

<b>
The following is a PBEsol calculation of crystalline TlP2Os at its relaxed geometry, from Alexandria.

Cell: 3.781 3.469 5.897 Å, 90.00 106.89 90.00°
Sites, in units of the cell vectors:
Tl  0.000  0.000  0.000
P  0.221  0.500  0.518
P  0.618  0.000  0.531
Os  0.634  0.500  0.270

Computed properties:
crystal system = monoclinic

=====

<c>
The following is a PBEsol calculation of crystalline TlP2Os at its relaxed geometry, from Alexandria.

Cell: 4.368 4.368 6.377 Å, 102.90 102.90 40.54°
Sites, in units of the cell vectors:
Tl  0.000  0.000  0.000
P  0.662  0.662  0.576
P  0.785  0.785  0.298
Os  0.383  0.383  0.591

Computed properties:
crystal system = monoclinic

=====

The structure with the most favorable energy is <c>; the runner-up is 0.8 kJ/mol of atoms above it.

=====

<a>
The following is a PBEsol calculation of crystalline TlP2Os at its relaxed geometry, from Alexandria.

Cell: 3.218 4.414 4.591 Å, 90.00 90.00 90.00°
Sites, in units of the cell vectors:
Tl  0.000  0.000  0.000
P  0.000  0.500  0.500
P  0.500  0.000  0.500
Os  0.500  0.500  0.000

Computed properties:
crystal system = orthorhombic

=====

<b>
The following is a PBEsol calculation of crystalline TlP2Os at its relaxed geometry, from Alexandria.

Cell: 4.599 4.599 3.206 Å, 90.00 90.00 107.71°
Sites, in units of the cell vectors:
Tl  0.000  0.000  0.000
P  0.000  0.500  0.500
P  0.500  0.000  0.500
Os  0.500  0.500  0.000

Computed properties:
crystal system = orthorhombic

=====

The structure with the most favorable energy is <b>; the runner-up is 12.5 kJ/mol of atoms above it.

=====

<a>
The following is a PBEsol calculation of crystalline YP2Os at its relaxed geometry, from Alexandria.

Cell: 4.455 4.455 4.455 Å, 60.00 60.00 60.00°
Sites, in units of the cell vectors:
Y  0.000  0.000  0.000
P  0.250  0.250  0.250
P  0.750  0.750  0.750
Os  0.500  0.500  0.500

Computed properties:
crystal system = cubic

=====

<b>
The following is a PBEsol calculation of crystalline YP2Os at its relaxed geometry, from Alexandria.

Cell: 3.904 3.925 4.687 Å, 90.00 92.19 90.00°
Sites, in units of the cell vectors:
Y  0.000  0.000  0.000
P  0.459  0.500  0.768
P  0.541  0.500  0.232
Os  0.500  0.000  0.500

Computed properties:
crystal system = monoclinic

=====

The structure with the most favorable energy is <b>; the runner-up is 33.8 kJ/mol of atoms above it.

=====

<a>
The following is a PBEsol calculation of crystalline ScOsPb2 at its relaxed geometry, from Alexandria.

Cell: 4.856 4.856 5.500 Å, 101.06 101.06 40.81°
Sites, in units of the cell vectors:
Sc  0.000  0.000  0.000
Os  0.500  0.500  0.500
Pb  0.239  0.239  0.730
Pb  0.761  0.761  0.270

Computed properties:
crystal system = monoclinic

=====

<b>
The following is a PBEsol calculation of crystalline ScOsPb2 at its relaxed geometry, from Alexandria.

Cell: 5.769 5.769 5.769 Å, 146.26 125.93 65.27°
Sites, in units of the cell vectors:
Sc  0.000  0.000  0.000
Os  0.500  0.500  0.000
Pb  0.273  0.773  0.500
Pb  0.727  0.227  0.500

Computed properties:
crystal system = orthorhombic

=====

The structure with the most favorable energy is <a>; the runner-up is 1.6 kJ/mol of atoms above it.